# 1
Compound: ThSiSb
Source: Alexandria
Functional: PBE-GGA
Structure: optimized geometry

Values from the calculation:
Energy above the lowest structure with this stoichiometry ... 0.0000 eV/atom
Size of the total moment ... 0.00 μB/atom
Space-group type ... No. 63
Calculated volume ... 304 Å³/cell
Crystal system ... orthorhombic

a b c (Å): 4.3353 16.8941 4.1520
angles (deg): 90.00 90.00 90.00
Positions (direct):
Th  0.0000  0.0976  0.2500
Th  0.0000  0.9024  0.7500
Th  0.5000  0.4024  0.7500
Th  0.5000  0.5976  0.2500
Si  0.0000  0.4592  0.2500
Si  0.0000  0.5408  0.7500
Si  0.5000  0.0408  0.7500
Si  0.5000  0.9592  0.2500
Sb  0.0000  0.2504  0.7500
Sb  0.0000  0.7496  0.2500
Sb  0.5000  0.2496  0.2500
Sb  0.5000  0.7504  0.7500

---

# 2
Compound: Th2SiSb
Source: Alexandria
Functional: PBE-GGA
Structure: optimized geometry

Values from the calculation:
Energy above the lowest structure with this stoichiometry ... 0.2209 eV/atom
Size of the total moment ... 0.00 μB/atom
Space-group type ... No. 160
Calculated volume ... 364 Å³/cell
Crystal system ... trigonal

a b c (Å): 4.2483 4.2483 23.2926
angles (deg): 90.00 90.00 120.00
Positions (direct):
Th  0.0000  0.0000  0.0000
Th  0.0000  0.0000  0.1577
Th  0.3333  0.6667  0.6667
Th  0.3333  0.6667  0.8243
Th  0.6667  0.3333  0.3333
Th  0.6667  0.3333  0.4910
Si  0.0000  0.0000  0.7462
Si  0.3333  0.6667  0.4128
Si  0.6667  0.3333  0.0795
Sb  0.0000  0.0000  0.5778
Sb  0.3333  0.6667  0.2445
Sb  0.6667  0.3333  0.9111

---

# 3
Compound: ThSiSb
Source: Alexandria
Functional: PBE-GGA
Structure: optimized geometry

Values from the calculation:
Energy above the lowest structure with this stoichiometry ... 0.5053 eV/atom
Size of the total moment ... 0.00 μB/atom
Space-group type ... No. 180
Calculated volume ... 507 Å³/cell
Crystal system ... hexagonal

a b c (Å): 6.9112 6.9112 12.2478
angles (deg): 90.00 90.00 120.00
Positions (direct):
Th  0.0000  0.5000  0.3984
Th  0.0000  0.5000  0.9349
Th  0.5000  0.0000  0.2683
Th  0.5000  0.0000  0.7317
Th  0.5000  0.5000  0.0651
Th  0.5000  0.5000  0.6016
Si  0.1864  0.5932  0.1667
Si  0.4068  0.5932  0.8333
Si  0.4068  0.8136  0.5000
Si  0.5932  0.1864  0.5000
Si  0.5932  0.4068  0.8333
Si  0.8136  0.4068  0.1667
Sb  0.0000  0.0000  0.1667
Sb  0.0000  0.0000  0.5000
Sb  0.0000  0.0000  0.8333
Sb  0.0000  0.5000  0.6667
Sb  0.5000  0.0000  0.0000
Sb  0.5000  0.5000  0.3333

---

# 4
Compound: Th6SiSb5
Source: Alexandria
Functional: PBE-GGA
Structure: optimized geometry

Values from the calculation:
Size of the total moment ... 0.00 μB/atom
Space-group type ... No. 12
Calculated volume ... 379 Å³/cell
Crystal system ... monoclinic

a b c (Å): 7.7413 7.7413 7.7424
angles (deg): 99.60 99.60 120.03
Positions (direct):
Th  0.0775  0.3907  0.7353
Th  0.2306  0.2306  0.2590
Th  0.3907  0.0775  0.7353
Th  0.6093  0.9225  0.2647
Th  0.7694  0.7694  0.7410
Th  0.9225  0.6093  0.2647
Si  0.0000  0.0000  0.5000
Sb  0.1749  0.8251  0.0000
Sb  0.3353  0.6647  0.5000
Sb  0.5000  0.5000  0.0000
Sb  0.6647  0.3353  0.5000
Sb  0.8251  0.1749  0.0000

---

Number 1: formation energy from raw total energies -1.92 eV per formula unit, density of states at the Fermi level 6.5 states/eV per cell. Number 2: formation energy from raw total energies -2.38 eV per formula unit, density of states at the Fermi level 10.6 states/eV per cell. Number 3: formation energy from raw total energies -0.40 eV per formula unit, density of states at the Fermi level 11.4 states/eV per cell. Number 4: formation energy from raw total energies -10.62 eV per formula unit, density of states at the Fermi level 7.4 states/eV per cell.